Computed, not measured: an optimized crystal structure of K4TeAs2 at the GGA-PBE level of DFT.

E_form (uncorrected): -0.424 eV/atom
ρ: 1.99 g/cm³
E: -39.6 eV per cell

Unit cell a=6.9433 b=6.9433 c=15.0308 alpha=90.00 beta=90.00 gamma=90.00
Space group I4/mmm (No. 139)
Inequivalent atoms, fractional coordinates:
K 0.0000 0.0000 0.2141
K 0.0000 0.5000 0.0000
Te 0.0000 0.0000 0.0000
As 0.0000 0.0000 0.4238



Computed, not measured: an optimized crystal structure of Ba2HSe at the GGA-PBE level of DFT.

ρ: 4.66 g/cm³
relative energy among the computed polymorphs: 0.000 eV/atom
E: -45.1 eV per cell

Unit cell a=4.4891 b=4.4891 c=21.7008 alpha=90.00 beta=90.00 gamma=120.00
Space group R-3m (No. 166, hexagonal axes)
Inequivalent atoms, fractional coordinates:
Ba 0.0000 0.0000 0.2455
H 0.0000 0.0000 0.5000
Se 0.0000 0.0000 0.0000



Computed, not measured: an optimized crystal structure of NaCaN3 at the GGA-PBE level of DFT.

E_form (uncorrected): 1.581 eV/atom
ρ: 1.80 g/cm³
E: -20.4 eV per cell

Unit cell a=4.5908 b=4.5908 c=4.5908 alpha=90.00 beta=90.00 gamma=90.00
Space group Pm-3m (No. 221)
Inequivalent atoms, fractional coordinates:
Na 0.0000 0.0000 0.0000
Ca 0.5000 0.5000 0.5000
N 0.0000 0.5000 0.5000



Computed, not measured: an optimized crystal structure of LiHo2Be at the GGA-PBE level of DFT.

energy relative to the elements: 0.09 eV per atom
ρ: 6.44 g/cm³
relative energy among the computed polymorphs: 0.000 eV/atom
E: -14.4 eV per cell

Unit cell a=3.4546 b=3.4546 c=7.4730 alpha=90.00 beta=90.00 gamma=90.00
Space group P4/mmm (No. 123)
Inequivalent atoms, fractional coordinates:
Li 0.0000 0.0000 0.0000
Ho 0.5000 0.5000 0.2876
Be 0.0000 0.0000 0.5000



Computed, not measured: an optimized crystal structure of SrAl4Zn6 at the GGA-PBE level of DFT.

energy relative to the elements: -0.07 eV per atom
ρ: 4.77 g/cm³
E: -25.1 eV per cell

Unit cell a=7.3470 b=7.3470 c=4.3761 alpha=90.00 beta=90.00 gamma=120.00
Space group P-6m2 (No. 187)
Inequivalent atoms, fractional coordinates:
Sr 0.0000 0.0000 0.0000
Al 0.3333 0.6667 0.0000
Al 0.4132 0.2066 0.5000
Zn 0.2053 0.4107 0.5000
Zn 0.5387 0.0773 0.0000



Computed, not measured: an optimized crystal structure of CuNiRuW at the GGA-PBE level of DFT.

energy relative to the elements: 0.14 eV per atom
ρ: 12.58 g/cm³
E: -126.1 eV per cell

Unit cell a=5.9900 b=5.9900 c=5.9900 alpha=90.00 beta=90.00 gamma=90.00
Space group F-43m (No. 216)
Inequivalent atoms, fractional coordinates:
Cu 0.0000 0.0000 0.0000
Ni 0.2500 0.2500 0.7500
Ru 0.2500 0.2500 0.2500
W 0.0000 0.0000 0.5000



These records have D(E_F) values of 1.51 8.16 7.01 3.66 3.99 18.38 states/eV per cell, in the order they appear.